No. 1
DFT (PBE-GGA) results for a relaxed structure of Er4GaPdRu2.

Properties
V (Å³ per cell): 162.7
Symmetry: R-3m, No. 166
Uncorrected energy (eV per atom): -6.215
Fermi-level density of states (states/eV/atom): 0.618

a = 8.441 Å, b = 8.441 Å, c = 8.441 Å
α = 33.45°, β = 33.45°, γ = 33.45°
Sites, in units of the cell vectors:
Er (0.123, 0.123, 0.123)
Er (0.373, 0.373, 0.373)
Er (0.627, 0.627, 0.627)
Er (0.877, 0.877, 0.877)
Ga (0.500, 0.500, 0.500)
Pd (0.000, 0.000, 0.000)
Ru (0.249, 0.249, 0.249)
Ru (0.751, 0.751, 0.751)


No. 2
DFT (PBE-GGA) results for a relaxed structure of ErGa4PdRu2.

Properties
V (Å³ per cell): 132.2
Symmetry: R-3m, No. 166
Uncorrected energy (eV per atom): -5.521
Fermi-level density of states (states/eV/atom): 0.606

a = 8.711 Å, b = 8.711 Å, c = 8.711 Å
α = 28.40°, β = 28.40°, γ = 28.40°
Sites, in units of the cell vectors:
Er (0.000, 0.000, 0.000)
Ga (0.129, 0.129, 0.129)
Ga (0.396, 0.396, 0.396)
Ga (0.604, 0.604, 0.604)
Ga (0.871, 0.871, 0.871)
Pd (0.500, 0.500, 0.500)
Ru (0.236, 0.236, 0.236)
Ru (0.764, 0.764, 0.764)


No. 3
DFT (PBE-GGA) results for a relaxed structure of ErScGaPd.

Properties
V (Å³ per cell): 81.1
Symmetry: F-43m, No. 216
Uncorrected energy (eV per atom): -5.498
Fermi-level density of states (states/eV/atom): 0.841

a = 4.858 Å, b = 4.858 Å, c = 4.858 Å
α = 60.00°, β = 60.00°, γ = 60.00°
Sites, in units of the cell vectors:
Er (0.000, 0.000, 0.000)
Sc (0.500, 0.500, 0.500)
Ga (0.750, 0.750, 0.750)
Pd (0.250, 0.250, 0.250)


No. 4
DFT (PBE-GGA) results for a relaxed structure of ErScGaPd.

Properties
V (Å³ per cell): 83.9
Symmetry: Amm2, No. 38
Uncorrected energy (eV per atom): -5.525
Fermi-level density of states (states/eV/atom): 0.681

a = 4.348 Å, b = 5.712 Å, c = 5.712 Å
α = 36.24°, β = 90.00°, γ = 90.00°
Sites, in units of the cell vectors:
Er (0.000, 0.000, 0.000)
Sc (0.500, 0.713, 0.713)
Ga (0.000, 0.271, 0.271)
Pd (0.500, 0.426, 0.426)


No. 5
DFT (PBE-GGA) results for a relaxed structure of ErSc2GaPd4.

Properties
V (Å³ per cell): 144.4
Symmetry: R-3m, No. 166
Uncorrected energy (eV per atom): -5.974
Fermi-level density of states (states/eV/atom): 0.804

a = 8.161 Å, b = 8.161 Å, c = 8.161 Å
α = 33.12°, β = 33.12°, γ = 33.12°
Sites, in units of the cell vectors:
Er (0.000, 0.000, 0.000)
Sc (0.243, 0.243, 0.243)
Sc (0.757, 0.757, 0.757)
Ga (0.500, 0.500, 0.500)
Pd (0.126, 0.126, 0.126)
Pd (0.385, 0.385, 0.385)
Pd (0.615, 0.615, 0.615)
Pd (0.874, 0.874, 0.874)


No. 6
DFT (PBE-GGA) results for a relaxed structure of ErScGa2Pd2.

Properties
V (Å³ per cell): 111.4
Symmetry: P-3m1, No. 164
Uncorrected energy (eV per atom): -5.420
Fermi-level density of states (states/eV/atom): 0.465

a = 4.455 Å, b = 4.455 Å, c = 6.479 Å
α = 90.00°, β = 90.00°, γ = 120.00°
Sites, in units of the cell vectors:
Er (0.000, 0.000, 0.000)
Sc (0.000, 0.000, 0.500)
Ga (0.333, 0.667, 0.723)
Ga (0.667, 0.333, 0.277)
Pd (0.333, 0.667, 0.273)
Pd (0.667, 0.333, 0.727)


No. 7
DFT (PBE-GGA) results for a relaxed structure of Er2GaSi3Pd4.

Properties
V (Å³ per cell): 174.7
Uncorrected formation energy (eV per atom): -0.86
Symmetry: P-4m2, No. 115
Uncorrected energy (eV per atom): -5.781
Fermi-level density of states (states/eV/atom): 0.569

a = 4.149 Å, b = 4.149 Å, c = 10.148 Å
α = 90.00°, β = 90.00°, γ = 90.00°
Sites, in units of the cell vectors:
Er (0.000, 0.500, 0.250)
Er (0.500, 0.000, 0.750)
Ga (0.000, 0.000, 0.500)
Si (0.000, 0.500, 0.870)
Si (0.500, 0.000, 0.130)
Si (0.500, 0.500, 0.500)
Pd (0.000, 0.000, 0.000)
Pd (0.000, 0.500, 0.637)
Pd (0.500, 0.000, 0.363)
Pd (0.500, 0.500, 0.000)


No. 8
DFT (PBE-GGA) results for a relaxed structure of SmErGa2Pd5.

Properties
V (Å³ per cell): 165.1
Symmetry: P4/mmm, No. 123
Uncorrected energy (eV per atom): -5.379
Fermi-level density of states (states/eV/atom): 0.582

a = 4.220 Å, b = 4.220 Å, c = 9.274 Å
α = 90.00°, β = 90.00°, γ = 90.00°
Sites, in units of the cell vectors:
Sm (0.000, 0.000, 0.000)
Er (0.000, 0.000, 0.500)
Ga (0.500, 0.500, 0.368)
Ga (0.500, 0.500, 0.632)
Pd (0.000, 0.500, 0.227)
Pd (0.000, 0.500, 0.773)
Pd (0.500, 0.000, 0.227)
Pd (0.500, 0.000, 0.773)
Pd (0.500, 0.500, 0.000)


No. 9
DFT (PBE-GGA) results for a relaxed structure of SmErGaPd.

Properties
V (Å³ per cell): 94.0
Symmetry: Amm2, No. 38
Uncorrected energy (eV per atom): -5.096
Fermi-level density of states (states/eV/atom): 0.963

a = 4.488 Å, b = 5.861 Å, c = 5.861 Å
α = 37.57°, β = 90.00°, γ = 90.00°
Sites, in units of the cell vectors:
Sm (0.000, 0.000, 0.000)
Er (0.500, 0.714, 0.714)
Ga (0.500, 0.429, 0.429)
Pd (0.000, 0.278, 0.278)


No. 10
DFT (PBE-GGA) results for a relaxed structure of SmErGaPd.

Properties
V (Å³ per cell): 91.4
Symmetry: F-43m, No. 216
Uncorrected energy (eV per atom): -5.054
Fermi-level density of states (states/eV/atom): 0.836

a = 5.055 Å, b = 5.055 Å, c = 5.055 Å
α = 60.00°, β = 60.00°, γ = 60.00°
Sites, in units of the cell vectors:
Sm (0.000, 0.000, 0.000)
Er (0.500, 0.500, 0.500)
Ga (0.750, 0.750, 0.750)
Pd (0.250, 0.250, 0.250)


No. 11
DFT (PBE-GGA) results for a relaxed structure of Sm2ErGa4Pd3.

Properties
V (Å³ per cell): 207.6
Symmetry: P-4m2, No. 115
Uncorrected energy (eV per atom): -4.895
Fermi-level density of states (states/eV/atom): 0.802

a = 4.176 Å, b = 4.176 Å, c = 11.901 Å
α = 90.00°, β = 90.00°, γ = 90.00°
Sites, in units of the cell vectors:
Sm (0.000, 0.500, 0.227)
Sm (0.500, 0.000, 0.773)
Er (0.000, 0.000, 0.500)
Ga (0.000, 0.000, 0.000)
Ga (0.000, 0.500, 0.666)
Ga (0.500, 0.000, 0.334)
Ga (0.500, 0.500, 0.000)
Pd (0.000, 0.500, 0.874)
Pd (0.500, 0.000, 0.126)
Pd (0.500, 0.500, 0.500)


No. 12
DFT (PBE-GGA) results for a relaxed structure of ErGaSnPd.

Properties
V (Å³ per cell): 81.7
Symmetry: F-43m, No. 216
Uncorrected energy (eV per atom): -4.807
Fermi-level density of states (states/eV/atom): 0.252

a = 4.870 Å, b = 4.870 Å, c = 4.870 Å
α = 60.00°, β = 60.00°, γ = 60.00°
Sites, in units of the cell vectors:
Er (0.000, 0.000, 0.000)
Ga (0.250, 0.250, 0.250)
Sn (0.500, 0.500, 0.500)
Pd (0.750, 0.750, 0.750)


No. 13
DFT (PBE-GGA) results for a relaxed structure of SrErGa2Pd2.

Properties
V (Å³ per cell): 133.8
Symmetry: P-3m1, No. 164
Uncorrected energy (eV per atom): -4.565
Fermi-level density of states (states/eV/atom): 0.571

a = 4.499 Å, b = 4.499 Å, c = 7.634 Å
α = 90.00°, β = 90.00°, γ = 120.00°
Sites, in units of the cell vectors:
Sr (0.000, 0.000, 0.000)
Er (0.000, 0.000, 0.500)
Ga (0.333, 0.667, 0.291)
Ga (0.667, 0.333, 0.709)
Pd (0.333, 0.667, 0.700)
Pd (0.667, 0.333, 0.300)


No. 14
DFT (PBE-GGA) results for a relaxed structure of SrErGa2Pd5.

Properties
V (Å³ per cell): 170.5
Symmetry: P4/mmm, No. 123
Uncorrected energy (eV per atom): -4.895
Fermi-level density of states (states/eV/atom): 0.431

a = 4.309 Å, b = 4.309 Å, c = 9.184 Å
α = 90.00°, β = 90.00°, γ = 90.00°
Sites, in units of the cell vectors:
Sr (0.000, 0.000, 0.000)
Er (0.000, 0.000, 0.500)
Ga (0.500, 0.500, 0.366)
Ga (0.500, 0.500, 0.634)
Pd (0.000, 0.500, 0.237)
Pd (0.000, 0.500, 0.763)
Pd (0.500, 0.000, 0.237)
Pd (0.500, 0.000, 0.763)
Pd (0.500, 0.500, 0.000)


No. 15
DFT (PBE-GGA) results for a relaxed structure of TbErGa2Pd5.

Properties
V (Å³ per cell): 162.8
Symmetry: P4/mmm, No. 123
Uncorrected energy (eV per atom): -5.397
Fermi-level density of states (states/eV/atom): 0.521

a = 4.193 Å, b = 4.193 Å, c = 9.257 Å
α = 90.00°, β = 90.00°, γ = 90.00°
Sites, in units of the cell vectors:
Tb (0.000, 0.000, 0.000)
Er (0.000, 0.000, 0.500)
Ga (0.500, 0.500, 0.367)
Ga (0.500, 0.500, 0.633)
Pd (0.000, 0.500, 0.223)
Pd (0.000, 0.500, 0.777)
Pd (0.500, 0.000, 0.223)
Pd (0.500, 0.000, 0.777)
Pd (0.500, 0.500, 0.000)


No. 16
DFT (PBE-GGA) results for a relaxed structure of TbErGaPd.

Properties
V (Å³ per cell): 88.9
Symmetry: F-43m, No. 216
Uncorrected energy (eV per atom): -5.065
Fermi-level density of states (states/eV/atom): 0.826

a = 5.010 Å, b = 5.010 Å, c = 5.010 Å
α = 60.00°, β = 60.00°, γ = 60.00°
Sites, in units of the cell vectors:
Tb (0.000, 0.000, 0.000)
Er (0.500, 0.500, 0.500)
Ga (0.250, 0.250, 0.250)
Pd (0.750, 0.750, 0.750)


No. 17
DFT (PBE-GGA) results for a relaxed structure of TbErGaPd.

Properties
V (Å³ per cell): 91.8
Symmetry: Amm2, No. 38
Uncorrected energy (eV per atom): -5.101
Fermi-level density of states (states/eV/atom): 0.742

a = 4.489 Å, b = 5.804 Å, c = 5.804 Å
α = 37.38°, β = 90.00°, γ = 90.00°
Sites, in units of the cell vectors:
Tb (0.000, 0.000, 0.000)
Er (0.500, 0.284, 0.284)
Ga (0.000, 0.723, 0.723)
Pd (0.500, 0.570, 0.570)


No. 18
DFT (PBE-GGA) results for a relaxed structure of ErThGaPd.

Properties
V (Å³ per cell): 94.1
Symmetry: F-43m, No. 216
Uncorrected energy (eV per atom): -5.629
Fermi-level density of states (states/eV/atom): 0.880

a = 5.106 Å, b = 5.106 Å, c = 5.106 Å
α = 60.00°, β = 60.00°, γ = 60.00°
Sites, in units of the cell vectors:
Er (0.000, 0.000, 0.000)
Th (0.500, 0.500, 0.500)
Ga (0.750, 0.750, 0.750)
Pd (0.250, 0.250, 0.250)


No. 19
DFT (PBE-GGA) results for a relaxed structure of ErTiGaPd.

Properties
V (Å³ per cell): 75.9
Symmetry: F-43m, No. 216
Uncorrected energy (eV per atom): -5.651
Fermi-level density of states (states/eV/atom): 1.259

a = 4.753 Å, b = 4.753 Å, c = 4.753 Å
α = 60.00°, β = 60.00°, γ = 60.00°
Sites, in units of the cell vectors:
Er (0.000, 0.000, 0.000)
Ti (0.500, 0.500, 0.500)
Ga (0.250, 0.250, 0.250)
Pd (0.750, 0.750, 0.750)


No. 20
DFT (PBE-GGA) results for a relaxed structure of ErTmGaPd.

Properties
V (Å³ per cell): 89.3
Symmetry: Amm2, No. 38
Uncorrected energy (eV per atom): -5.079
Fermi-level density of states (states/eV/atom): 0.669

a = 4.466 Å, b = 5.738 Å, c = 5.738 Å
α = 37.40°, β = 90.00°, γ = 90.00°
Sites, in units of the cell vectors:
Er (0.000, 0.000, 0.000)
Tm (0.500, 0.286, 0.286)
Ga (0.000, 0.722, 0.722)
Pd (0.500, 0.568, 0.568)


No. 21
DFT (PBE-GGA) results for a relaxed structure of ErTmGaPd.

Properties
V (Å³ per cell): 86.5
Symmetry: F-43m, No. 216
Uncorrected energy (eV per atom): -5.047
Fermi-level density of states (states/eV/atom): 0.863

a = 4.964 Å, b = 4.964 Å, c = 4.964 Å
α = 60.00°, β = 60.00°, γ = 60.00°
Sites, in units of the cell vectors:
Er (0.000, 0.000, 0.000)
Tm (0.500, 0.500, 0.500)
Ga (0.750, 0.750, 0.750)
Pd (0.250, 0.250, 0.250)


No. 22
DFT (PBE-GGA) results for a relaxed structure of YErGa2Pd5.

Properties
V (Å³ per cell): 162.7
Symmetry: P4/mmm, No. 123
Uncorrected energy (eV per atom): -5.594
Fermi-level density of states (states/eV/atom): 0.507

a = 4.191 Å, b = 4.191 Å, c = 9.264 Å
α = 90.00°, β = 90.00°, γ = 90.00°
Sites, in units of the cell vectors:
Y (0.000, 0.000, 0.000)
Er (0.000, 0.000, 0.500)
Ga (0.500, 0.500, 0.367)
Ga (0.500, 0.500, 0.633)
Pd (0.000, 0.500, 0.224)
Pd (0.000, 0.500, 0.776)
Pd (0.500, 0.000, 0.224)
Pd (0.500, 0.000, 0.776)
Pd (0.500, 0.500, 0.000)


No. 23
DFT (PBE-GGA) results for a relaxed structure of ErZnGaPd.

Properties
V (Å³ per cell): 71.5
Symmetry: F-43m, No. 216
Uncorrected energy (eV per atom): -4.099
Fermi-level density of states (states/eV/atom): 0.547

a = 4.658 Å, b = 4.658 Å, c = 4.658 Å
α = 60.00°, β = 60.00°, γ = 60.00°
Sites, in units of the cell vectors:
Er (0.000, 0.000, 0.000)
Zn (0.750, 0.750, 0.750)
Ga (0.500, 0.500, 0.500)
Pd (0.250, 0.250, 0.250)


No. 24
DFT (PBE-GGA) results for a relaxed structure of Er2ZnGa2Pd5.

Properties
V (Å³ per cell): 353.7
Symmetry: P4/mbm, No. 127
Uncorrected energy (eV per atom): -4.953
Fermi-level density of states (states/eV/atom): 0.549

a = 9.962 Å, b = 9.962 Å, c = 3.564 Å
α = 90.00°, β = 90.00°, γ = 90.00°
Sites, in units of the cell vectors:
Er (0.174, 0.326, 0.000)
Er (0.326, 0.826, 0.000)
Er (0.674, 0.174, 0.000)
Er (0.826, 0.674, 0.000)
Zn (0.000, 0.000, 0.000)
Zn (0.500, 0.500, 0.000)
Ga (0.126, 0.626, 0.000)
Ga (0.374, 0.126, 0.000)
Ga (0.626, 0.874, 0.000)
Ga (0.874, 0.374, 0.000)
Pd (0.000, 0.500, 0.500)
Pd (0.055, 0.799, 0.500)
Pd (0.201, 0.055, 0.500)
Pd (0.299, 0.555, 0.500)
Pd (0.445, 0.299, 0.500)
Pd (0.500, 0.000, 0.500)
Pd (0.555, 0.701, 0.500)
Pd (0.701, 0.445, 0.500)
Pd (0.799, 0.945, 0.500)
Pd (0.945, 0.201, 0.500)


No. 25
DFT (PBE-GGA) results for a relaxed structure of ErZnGaPd2.

Properties
V (Å³ per cell): 187.7
Symmetry: Cmme, No. 67
Uncorrected energy (eV per atom): -4.426
Fermi-level density of states (states/eV/atom): 0.510

a = 7.181 Å, b = 7.181 Å, c = 5.371 Å
α = 90.00°, β = 90.00°, γ = 137.33°
Sites, in units of the cell vectors:
Er (0.250, 0.750, 0.774)
Er (0.750, 0.250, 0.226)
Zn (0.000, 0.000, 0.000)
Zn (0.500, 0.500, 0.000)
Ga (0.250, 0.250, 0.500)
Ga (0.750, 0.750, 0.500)
Pd (0.148, 0.852, 0.294)
Pd (0.352, 0.648, 0.294)
Pd (0.648, 0.352, 0.706)
Pd (0.852, 0.148, 0.706)


No. 26
DFT (PBE-GGA) results for a relaxed structure of ErZnGa2Pd.

Properties
V (Å³ per cell): 91.4
Symmetry: I-4m2, No. 119
Uncorrected energy (eV per atom): -4.003
Fermi-level density of states (states/eV/atom): 0.575

a = 6.085 Å, b = 6.085 Å, c = 6.085 Å
α = 140.24°, β = 140.24°, γ = 57.48°
Sites, in units of the cell vectors:
Er (0.000, 0.000, 0.000)
Zn (0.750, 0.250, 0.500)
Ga (0.386, 0.386, 0.000)
Ga (0.614, 0.614, 0.000)
Pd (0.250, 0.750, 0.500)